Density functional theory data (PBE-GGA) for crystalline CsKBa2Pt at its relaxed geometry.

Results
- space group = P4/mmm (123)
- energy relative to the elements (kcal/mol of atoms) = -4.5
- E above lowest polymorph (eV/atom) = 0.0144
- density of states at the Fermi level (states/eV/f.u.) = 5.1

The structure in POSCAR format:
```
CsKBa2Pt
1.0
-1.0126 -1.8179 -5.9259
-2.1675 -5.5215 2.0643
-6.5972 2.7014 0.2986
Ba Cs Pt K
2 1 1 1
direct
0.5000 0.0000 0.0000
0.0000 0.5000 0.0000
0.5000 0.5000 0.5000
0.0000 0.0000 0.0000
0.0000 0.0000 0.5000
```